A geometry-optimized NdTmNi4 structure, computed with PBE.

```
data_NdTmNi4
_cell_length_a 7.1735
_cell_length_b 7.1735
_cell_length_c 7.1735
_cell_angle_alpha 90.00
_cell_angle_beta 90.00
_cell_angle_gamma 90.00
_space_group_name_H-M_alt 'F -4 3 m'
_space_group_IT_number 216
_space_group_name_Hall 'F -4 2 3'
loop_
_atom_site_label
_atom_site_type_symbol
_atom_site_fract_x
_atom_site_fract_y
_atom_site_fract_z
Nd1 Nd 0.0000 0.0000 0.0000
Tm1 Tm 0.2500 0.2500 0.2500
Ni1 Ni 0.1237 0.1237 0.6237
```

## Properties
VASP energy: -5.653 eV/atom
offset from the most stable computed form: 0 meV per atom
total magnetization: 0.0008 μB/atom
formation energy: -2.41 eV/f.u.